## P
A plane-wave DFT calculation with PBE was carried out for a relaxed structure of CaP2RuS.

Structure (CIF):
```
data_CaP2RuS
_space_group_name_H-M_alt 'P 4/m m m'
_space_group_IT_number 123
_space_group_name_Hall '-P 4 2'
_cell_length_a 4.447
_cell_length_b 4.447
_cell_length_c 5.409
_cell_angle_alpha 90.00
_cell_angle_beta 90.00
_cell_angle_gamma 90.00
loop_
_atom_site_label
_atom_site_type_symbol
_atom_site_fract_x
_atom_site_fract_y
_atom_site_fract_z
Ca1 Ca 0.000 0.000 0.000
P1 P 0.000 0.500 0.500
Ru1 Ru 0.500 0.500 0.500
S1 S 0.500 0.500 0.000
```

Volume = 21.4 A^3/atom
M_tot = 0.00 μB per formula unit

## Q
A plane-wave DFT calculation with PBE was carried out for a relaxed structure of CaP2RuS.

Structure (CIF):
```
data_CaP2RuS
_space_group_name_H-M_alt 'P 4/m m m'
_space_group_IT_number 123
_space_group_name_Hall '-P 4 2'
_cell_length_a 5.131
_cell_length_b 5.131
_cell_length_c 4.975
_cell_angle_alpha 90.00
_cell_angle_beta 90.00
_cell_angle_gamma 90.00
loop_
_atom_site_label
_atom_site_type_symbol
_atom_site_fract_x
_atom_site_fract_y
_atom_site_fract_z
Ca1 Ca 0.000 0.000 0.000
P1 P 0.000 0.500 0.000
Ru1 Ru 0.500 0.500 0.500
S1 S 0.000 0.000 0.500
```

Volume = 26.2 A^3/atom
M_tot = 2.55 μB per formula unit

Short version: P is the most stable of them.

## P
A plane-wave DFT calculation with PBE was carried out for a relaxed structure of CaSbP2S.

Structure (CIF):
```
data_CaSbP2S
_space_group_name_H-M_alt 'P 4/m m m'
_space_group_IT_number 123
_space_group_name_Hall '-P 4 2'
_cell_length_a 5.039
_cell_length_b 5.039
_cell_length_c 5.121
_cell_angle_alpha 90.00
_cell_angle_beta 90.00
_cell_angle_gamma 90.00
loop_
_atom_site_label
_atom_site_type_symbol
_atom_site_fract_x
_atom_site_fract_y
_atom_site_fract_z
Ca1 Ca 0.000 0.000 0.000
Sb1 Sb 0.500 0.500 0.500
P1 P 0.000 0.500 0.500
S1 S 0.500 0.500 0.000
```

Volume = 26.0 A^3/atom
M_tot = 0.00 μB per formula unit

## Q
A plane-wave DFT calculation with PBE was carried out for a relaxed structure of CaSbP2S.

Structure (CIF):
```
data_CaSbP2S
_space_group_name_H-M_alt 'P 4/m m m'
_space_group_IT_number 123
_space_group_name_Hall '-P 4 2'
_cell_length_a 5.207
_cell_length_b 5.207
_cell_length_c 5.022
_cell_angle_alpha 90.00
_cell_angle_beta 90.00
_cell_angle_gamma 90.00
loop_
_atom_site_label
_atom_site_type_symbol
_atom_site_fract_x
_atom_site_fract_y
_atom_site_fract_z
Ca1 Ca 0.000 0.000 0.000
Sb1 Sb 0.500 0.500 0.500
P1 P 0.000 0.500 0.000
S1 S 0.000 0.000 0.500
```

Volume = 27.2 A^3/atom
M_tot = 0.00 μB per formula unit

Short version: P is the most stable of them.

## P
A plane-wave DFT calculation with PBE was carried out for a relaxed structure of CaScPS2.

Structure (CIF):
```
data_CaScPS2
_space_group_name_H-M_alt 'P 4/m m m'
_space_group_IT_number 123
_space_group_name_Hall '-P 4 2'
_cell_length_a 4.928
_cell_length_b 4.928
_cell_length_c 4.929
_cell_angle_alpha 90.00
_cell_angle_beta 90.00
_cell_angle_gamma 90.00
loop_
_atom_site_label
_atom_site_type_symbol
_atom_site_fract_x
_atom_site_fract_y
_atom_site_fract_z
Ca1 Ca 0.000 0.000 0.000
Sc1 Sc 0.500 0.500 0.500
P1 P 0.500 0.500 0.000
S1 S 0.000 0.500 0.500
```

Volume = 23.9 A^3/atom
M_tot = 0.00 μB per formula unit

## Q
A plane-wave DFT calculation with PBE was carried out for a relaxed structure of CaScPS2.

Structure (CIF):
```
data_CaScPS2
_space_group_name_H-M_alt 'P 4/m m m'
_space_group_IT_number 123
_space_group_name_Hall '-P 4 2'
_cell_length_a 5.040
_cell_length_b 5.040
_cell_length_c 5.021
_cell_angle_alpha 90.00
_cell_angle_beta 90.00
_cell_angle_gamma 90.00
loop_
_atom_site_label
_atom_site_type_symbol
_atom_site_fract_x
_atom_site_fract_y
_atom_site_fract_z
Ca1 Ca 0.000 0.000 0.000
Sc1 Sc 0.500 0.500 0.500
P1 P 0.000 0.000 0.500
S1 S 0.000 0.500 0.000
```

Volume = 25.5 A^3/atom
M_tot = 0.00 μB per formula unit

Short version: P is the most stable of them.

## P
A plane-wave DFT calculation with PBE was carried out for a relaxed structure of CaScP2S.

Structure (CIF):
```
data_CaScP2S
_space_group_name_H-M_alt 'P 4/m m m'
_space_group_IT_number 123
_space_group_name_Hall '-P 4 2'
_cell_length_a 5.025
_cell_length_b 5.025
_cell_length_c 5.012
_cell_angle_alpha 90.00
_cell_angle_beta 90.00
_cell_angle_gamma 90.00
loop_
_atom_site_label
_atom_site_type_symbol
_atom_site_fract_x
_atom_site_fract_y
_atom_site_fract_z
Ca1 Ca 0.000 0.000 0.000
Sc1 Sc 0.500 0.500 0.500
P1 P 0.000 0.500 0.000
S1 S 0.000 0.000 0.500
```

Volume = 25.3 A^3/atom
M_tot = 0.00 μB per formula unit

## Q
A plane-wave DFT calculation with PBE was carried out for a relaxed structure of CaScP2S.

Structure (CIF):
```
data_CaScP2S
_space_group_name_H-M_alt 'P 4/m m m'
_space_group_IT_number 123
_space_group_name_Hall '-P 4 2'
_cell_length_a 4.927
_cell_length_b 4.927
_cell_length_c 4.948
_cell_angle_alpha 90.00
_cell_angle_beta 90.00
_cell_angle_gamma 90.00
loop_
_atom_site_label
_atom_site_type_symbol
_atom_site_fract_x
_atom_site_fract_y
_atom_site_fract_z
Ca1 Ca 0.000 0.000 0.000
Sc1 Sc 0.500 0.500 0.500
P1 P 0.000 0.500 0.500
S1 S 0.500 0.500 0.000
```

Volume = 24.0 A^3/atom
M_tot = 0.00 μB per formula unit

Short version: Q is the most stable of them.